No. 1
# SrCdCoSe3 PBE optimized geometry
# Energy relative to the lowest polymorph listed for this composition: 0.156 eV/atom
data_SrCdCoSe3
_chemical_formula_sum 'Sr2 Cd2 Co2 Se6'
_cell_length_a 7.233
_cell_length_b 7.233
_cell_length_c 9.907
_cell_angle_alpha 90.00
_cell_angle_beta 90.00
_cell_angle_gamma 147.13
_symmetry_space_group_name_H-M 'P 1'
_symmetry_Int_Tables_number 1
loop_
_symmetry_equiv_pos_as_xyz
'x,y,z'
loop_
_atom_site_label
_atom_site_type_symbol
_atom_site_fract_x
_atom_site_fract_y
_atom_site_fract_z
_atom_site_occupancy
Sr1 Sr 0.235 0.765 0.750 1
Sr2 Sr 0.765 0.235 0.250 1
Cd1 Cd 0.478 0.522 0.250 1
Cd2 Cd 0.522 0.478 0.750 1
Co1 Co 0.000 0.000 0.000 1
Co2 Co 0.000 0.000 0.500 1
Se1 Se 0.093 0.907 0.250 1
Se2 Se 0.369 0.631 0.038 1
Se3 Se 0.369 0.631 0.462 1
Se4 Se 0.631 0.369 0.538 1
Se5 Se 0.631 0.369 0.962 1
Se6 Se 0.907 0.093 0.750 1



No. 2
# LiNb2Mo PBE optimized geometry
# Total energy: -7.860 eV per atom
data_LiNb2Mo
_chemical_formula_sum 'Li1 Nb2 Mo1'
_cell_length_a 4.525
_cell_length_b 4.525
_cell_length_c 4.525
_cell_angle_alpha 60.00
_cell_angle_beta 60.00
_cell_angle_gamma 60.00
_symmetry_space_group_name_H-M 'P 1'
_symmetry_Int_Tables_number 1
loop_
_symmetry_equiv_pos_as_xyz
'x,y,z'
loop_
_atom_site_label
_atom_site_type_symbol
_atom_site_fract_x
_atom_site_fract_y
_atom_site_fract_z
_atom_site_occupancy
Li1 Li 0.000 0.000 0.000 1
Nb1 Nb 0.500 0.500 0.500 1
Nb2 Nb 0.750 0.750 0.750 1
Mo1 Mo 0.250 0.250 0.250 1



No. 3
# AlFeCo PBE optimized geometry
# Energy relative to the lowest polymorph listed for this composition: 0.000 eV/atom
data_AlFeCo
_chemical_formula_sum 'Al4 Fe4 Co4'
_cell_length_a 4.934
_cell_length_b 3.936
_cell_length_c 7.281
_cell_angle_alpha 90.00
_cell_angle_beta 90.00
_cell_angle_gamma 90.00
_symmetry_space_group_name_H-M 'P 1'
_symmetry_Int_Tables_number 1
loop_
_symmetry_equiv_pos_as_xyz
'x,y,z'
loop_
_atom_site_label
_atom_site_type_symbol
_atom_site_fract_x
_atom_site_fract_y
_atom_site_fract_z
_atom_site_occupancy
Al1 Al 0.174 0.250 0.081 1
Al2 Al 0.326 0.750 0.581 1
Al3 Al 0.674 0.250 0.419 1
Al4 Al 0.826 0.750 0.919 1
Fe1 Fe 0.035 0.250 0.740 1
Fe2 Fe 0.465 0.750 0.240 1
Fe3 Fe 0.535 0.250 0.760 1
Fe4 Fe 0.965 0.750 0.260 1
Co1 Co 0.168 0.250 0.419 1
Co2 Co 0.332 0.750 0.919 1
Co3 Co 0.668 0.250 0.081 1
Co4 Co 0.832 0.750 0.581 1



Theoretical density list, top to bottom, in g/cm3: 5.9 7.3 6.7